Record 1
Here is PrAl4Co after structural relaxation from Alexandria via LeMat-Bulk. Energies are from PBE.

Cell: 7.7004 4.0413 6.9254 Å, 90.00 90.00 90.00°
Last column: nearest neighbours and their distance in Å.
Space group Pmma (No. 51)
Asymmetric unit:
Pr (0.2500, 0.0000, 0.1157) [2 per cell]  1 Co 2.99, 12 Al 3.12-3.29
Al (0.0000, 0.0000, 0.5000) [2 per cell]  2 Co 2.31
Al (0.0706, 0.5000, 0.7977) [4 per cell]  2 Co 2.57, 2 Al 2.73-2.76
Al (0.2500, 0.5000, 0.4580) [2 per cell]  2 Co 2.55, 6 Al 2.73-2.81
Co (0.2500, 0.0000, 0.6834) [2 per cell]  8 Al 2.31-2.57

=====

Record 2
Here is Pr8AlCo2 after structural relaxation from Alexandria via LeMat-Bulk. Energies are from PBE.

Cell: 9.0936 13.6780 5.3162 Å, 90.00 102.60 90.00°
Last column: nearest neighbours and their distance in Å.
Space group C2/m (No. 12)
Asymmetric unit:
Pr (0.0000, 0.2470, 0.0000) [4 per cell]  2 Co 2.77
Pr (0.1191, 0.0000, 0.8073) [4 per cell]  2 Co 3.14, 4 Pr 3.29-3.50, 1 Al 3.39
Pr (0.1925, 0.3727, 0.5651) [8 per cell]  2 Co 3.02, 1 Pr 3.37
Al (0.0000, 0.5000, 0.0000) [2 per cell]  12 Pr 3.39-3.63
Co (0.0000, 0.1903, 0.5000) [4 per cell]  6 Pr 2.77-3.02

=====

Ordered energy of formation from the pure elements results: -11.737; 0.233; unit kcal/mol of atoms.
Ordered raw total energy results: -4.98; -5.10; unit eV/atom.